Record 1
## AcPa2PdN5 (PBE-GGA)

Data for a geometry-optimized AcPa2PdN5 structure. Values from VASP.

Cell and atoms, written as Quantum ESPRESSO input:
```
&SYSTEM
  ibrav = 0, nat = 18, ntyp = 4
/
ATOMIC_SPECIES
N 14.01 N.upf
Pd 106.42 Pd.upf
Ac 227.00 Ac.upf
Pa 231.04 Pa.upf
CELL_PARAMETERS angstrom
6.6378 0.0000 0.0000
0.0000 6.6378 0.0000
-3.3189 -3.3189 5.9538
ATOMIC_POSITIONS crystal
N 0.2716 0.7716 0.2398
Pd 0.7500 0.2500 0.5000
Ac 0.7500 0.7500 0.5000
N 0.5000 0.5000 0.0000
N 0.5318 0.7284 0.7602
N 0.7284 0.2284 0.7602
N 0.7716 0.9682 0.2398
Ac 0.2500 0.2500 0.5000
Pd 0.2500 0.7500 0.5000
N 0.0318 0.5318 0.7602
N 0.0000 0.0000 0.0000
Pa 0.8276 0.6724 0.0000
Pa 0.1724 0.3276 0.0000
N 0.2284 0.0318 0.7602
N 0.9682 0.4682 0.2398
Pa 0.3276 0.8276 0.0000
N 0.4682 0.2716 0.2398
Pa 0.6724 0.1724 0.0000
```

## Properties
Raw formation energy, eV/atom: -1.06
Total magnetization, Bohr magnetons per cell: 0.001
Space-group type: I4/mcm (140)
Crystal system: tetragonal

---

Record 2
## LiSc2Pd3 (PBE-GGA)

Data for a geometry-optimized LiSc2Pd3 structure. Values from VASP.

Cell and atoms, written as Quantum ESPRESSO input:
```
&SYSTEM
  ibrav = 0, nat = 6, ntyp = 3
/
ATOMIC_SPECIES
Pd 106.42 Pd.upf
Sc 44.96 Sc.upf
Li 6.94 Li.upf
CELL_PARAMETERS angstrom
3.3056 0.0000 0.0000
0.0000 3.3056 0.0000
0.0000 0.0000 9.1387
ATOMIC_POSITIONS crystal
Pd 0.0000 0.0000 0.0000
Pd 0.0000 0.0000 0.3451
Sc 0.5000 0.5000 0.8180
Li 0.5000 0.5000 0.5000
Pd 0.0000 0.0000 0.6549
Sc 0.5000 0.5000 0.1820
```

## Properties
Energy of formation, kJ/mol of atoms: -78
Total magnetization, Bohr magnetons per cell: 0.000
Space-group type: P4/mmm (123)
Crystal system: tetragonal

---

Record 3
## Bi5Sb2I5 (PBE-GGA)

Data for a geometry-optimized Bi5Sb2I5 structure. Values from VASP.

Cell and atoms, written as Quantum ESPRESSO input:
```
&SYSTEM
  ibrav = 0, nat = 12, ntyp = 3
/
ATOMIC_SPECIES
I 126.90 I.upf
Sb 121.76 Sb.upf
Bi 208.98 Bi.upf
CELL_PARAMETERS angstrom
-0.5387 -0.2443 -4.2946
-7.3786 -0.4133 3.1370
2.9622 14.5169 -1.1972
ATOMIC_POSITIONS crystal
I 0.7411 0.4822 0.3535
Sb 0.0365 0.0730 0.7926
I 0.5000 0.0000 0.5000
I 0.2589 0.5178 0.6464
I 0.3473 0.6946 0.9415
Bi 0.1008 0.2015 0.3939
Bi 0.0000 0.0000 0.0000
I 0.6527 0.3054 0.0585
Bi 0.8992 0.7985 0.6061
Bi 0.6648 0.3295 0.7847
Bi 0.3352 0.6705 0.2153
Sb 0.9635 0.9270 0.2074
```

## Properties
Raw formation energy, eV/atom: -0.05
Total magnetization, Bohr magnetons per cell: 0.000
Space-group type: C2/m (12)
Crystal system: monoclinic

---

Record 4
## BaYPb2 (PBE-GGA)

Data for a geometry-optimized BaYPb2 structure. Values from VASP.

Cell and atoms, written as Quantum ESPRESSO input:
```
&SYSTEM
  ibrav = 0, nat = 4, ntyp = 3
/
ATOMIC_SPECIES
Pb 207.20 Pb.upf
Ba 137.33 Ba.upf
Y 88.91 Y.upf
CELL_PARAMETERS angstrom
-1.0146 0.6918 -4.4867
-1.2205 -5.2113 -0.5275
-5.1049 1.0622 1.3182
ATOMIC_POSITIONS crystal
Pb 0.0000 0.5000 0.5000
Pb 0.0000 0.0000 0.0000
Ba 0.5000 0.0000 0.5000
Y 0.5000 0.5000 0.0000
```

## Properties
Energy of formation, kJ/mol of atoms: -34
Total magnetization, Bohr magnetons per cell: 0.001
Space-group type: P4/mmm (123)
Crystal system: tetragonal

---

Record 5
## NaSr2In2 (PBE-GGA)

Data for a geometry-optimized NaSr2In2 structure. Values from VASP.

Cell and atoms, written as Quantum ESPRESSO input:
```
&SYSTEM
  ibrav = 0, nat = 10, ntyp = 3
/
ATOMIC_SPECIES
Sr 87.62 Sr.upf
In 114.82 In.upf
Na 22.99 Na.upf
CELL_PARAMETERS angstrom
-4.1678 6.8657 -4.4471
1.0391 -4.5063 -7.9309
-3.8093 -1.9266 0.5956
ATOMIC_POSITIONS crystal
Sr 0.1736 0.6736 0.5000
In 0.8796 0.6204 0.0000
In 0.1204 0.3796 0.0000
Sr 0.3264 0.1736 0.5000
Sr 0.8264 0.3264 0.5000
Na 0.5000 0.5000 0.0000
In 0.6204 0.1204 0.0000
Na 0.0000 0.0000 0.0000
In 0.3796 0.8796 0.0000
Sr 0.6736 0.8264 0.5000
```

## Properties
Energy of formation, kJ/mol of atoms: -29
Total magnetization, Bohr magnetons per cell: 0.000
Space-group type: P4/mbm (127)
Crystal system: tetragonal

---

Record 6
## KCo2Ir (PBE-GGA)

Data for a geometry-optimized KCo2Ir structure. Values from VASP.

Cell and atoms, written as Quantum ESPRESSO input:
```
&SYSTEM
  ibrav = 0, nat = 4, ntyp = 3
/
ATOMIC_SPECIES
Co 58.93 Co.upf
K 39.10 K.upf
Ir 192.22 Ir.upf
CELL_PARAMETERS angstrom
-0.5646 -2.5552 3.7533
1.9399 -3.0011 2.8574
2.3985 4.4634 4.4833
ATOMIC_POSITIONS crystal
Co 0.0366 0.0366 0.8924
K 0.2501 0.2501 0.2508
Co 0.7417 0.7417 0.7416
Ir 0.4716 0.4716 0.6152
```

## Properties
Energy of formation, kJ/mol of atoms: 62
Total magnetization, Bohr magnetons per cell: 4.031
Space-group type: Cm (8)
Crystal system: monoclinic

---

Record 7
## Li2Pu3US6 (PBE-GGA)

Data for a geometry-optimized Li2Pu3US6 structure. Values from VASP.

Cell and atoms, written as Quantum ESPRESSO input:
```
&SYSTEM
  ibrav = 0, nat = 12, ntyp = 4
/
ATOMIC_SPECIES
Pu 244.00 Pu.upf
S 32.06 S.upf
U 238.03 U.upf
Li 6.94 Li.upf
CELL_PARAMETERS angstrom
3.9097 0.0000 0.0000
0.0000 7.7458 0.3496
-1.9549 -2.1562 8.2269
ATOMIC_POSITIONS crystal
Pu 0.1702 0.8233 0.3404
S 0.6690 0.5745 0.3381
Pu 0.8298 0.1767 0.6596
S 0.0015 0.2481 0.0029
U 0.5000 0.0000 0.0000
Li 0.1730 0.3498 0.3459
S 0.6645 0.0792 0.3290
S 0.3310 0.4255 0.6619
S 0.3355 0.9208 0.6710
S 0.9985 0.7519 0.9971
Pu 0.5000 0.5000 0.0000
Li 0.8270 0.6502 0.6541
```

## Properties
Raw formation energy, eV/atom: -1.53
Total magnetization, Bohr magnetons per cell: 2.768
Space-group type: C2/m (12)
Crystal system: monoclinic

---

Record 8
## BeNbRh2 (PBE-GGA)

Data for a geometry-optimized BeNbRh2 structure. Values from VASP.

Cell and atoms, written as Quantum ESPRESSO input:
```
&SYSTEM
  ibrav = 0, nat = 4, ntyp = 3
/
ATOMIC_SPECIES
Rh 102.91 Rh.upf
Nb 92.91 Nb.upf
Be 9.01 Be.upf
CELL_PARAMETERS angstrom
3.4732 0.0000 0.0000
0.0000 4.0158 0.0000
0.0000 0.0000 4.0158
ATOMIC_POSITIONS crystal
Rh 0.0000 0.5000 0.0000
Nb 0.5000 0.5000 0.5000
Rh 0.0000 0.0000 0.5000
Be 0.5000 0.0000 0.0000
```

## Properties
Energy of formation, kJ/mol of atoms: -35
Total magnetization, Bohr magnetons per cell: 0.000
Space-group type: P4/mmm (123)
Crystal system: tetragonal

---

Record 9
## RbLiThTe3 (PBE-GGA)

Data for a geometry-optimized RbLiThTe3 structure. Values from VASP.

Cell and atoms, written as Quantum ESPRESSO input:
```
&SYSTEM
  ibrav = 0, nat = 12, ntyp = 4
/
ATOMIC_SPECIES
Th 232.04 Th.upf
Rb 85.47 Rb.upf
Te 127.60 Te.upf
Li 6.94 Li.upf
CELL_PARAMETERS angstrom
-1.7619 -2.0919 -3.7367
-7.2031 -4.0946 5.6886
-3.6039 9.2576 -3.4834
ATOMIC_POSITIONS crystal
Th 0.7500 0.3187 0.8416
Rb 0.2500 0.2054 0.2547
Te 0.7500 0.8798 0.1287
Li 0.7500 0.9194 0.4056
Te 0.2500 0.5369 0.8406
Te 0.7500 0.2080 0.5383
Te 0.7500 0.4631 0.1594
Te 0.2500 0.7920 0.4617
Li 0.2500 0.0806 0.5944
Th 0.2500 0.6813 0.1584
Rb 0.7500 0.7946 0.7453
Te 0.2500 0.1202 0.8713
```

## Properties
Raw formation energy, eV/atom: -1.20
Total magnetization, Bohr magnetons per cell: 0.000
Space-group type: P2_1/m (11)
Crystal system: monoclinic

---

Record 10
## DyEr2As3 (PBE-GGA)

Data for a geometry-optimized DyEr2As3 structure. Values from VASP.

Cell and atoms, written as Quantum ESPRESSO input:
```
&SYSTEM
  ibrav = 0, nat = 6, ntyp = 3
/
ATOMIC_SPECIES
Dy 162.50 Dy.upf
As 74.92 As.upf
Er 167.26 Er.upf
CELL_PARAMETERS angstrom
-2.9381 2.0854 1.9505
-0.3476 -4.2004 3.9673
5.9062 3.8998 0.4240
ATOMIC_POSITIONS crystal
Dy 0.0000 0.5000 0.0000
As 0.6679 0.6679 0.3358
As 0.0000 0.0000 0.0000
Er 0.3335 0.8335 0.6671
Er 0.6665 0.1665 0.3329
As 0.3321 0.3321 0.6642
```

## Properties
Energy of formation, kJ/mol of atoms: -147
Total magnetization, Bohr magnetons per cell: 0.000
Space-group type: Immm (71)
Crystal system: orthorhombic

---

Record 11
## Ho2InPd5Au (PBE-GGA)

Data for a geometry-optimized Ho2InPd5Au structure. Values from VASP.

Cell and atoms, written as Quantum ESPRESSO input:
```
&SYSTEM
  ibrav = 0, nat = 18, ntyp = 4
/
ATOMIC_SPECIES
Au 196.97 Au.upf
Pd 106.42 Pd.upf
Ho 164.93 Ho.upf
In 114.82 In.upf
CELL_PARAMETERS angstrom
8.3290 0.0000 0.0000
0.0000 8.3290 0.0000
-4.1645 -4.1645 5.4034
ATOMIC_POSITIONS crystal
Au 0.7500 0.2500 0.5000
Pd 0.4389 0.3292 0.2681
Ho 0.3722 0.8722 0.0000
Ho 0.6278 0.1278 0.0000
In 0.2500 0.2500 0.5000
Ho 0.1278 0.3722 0.0000
Pd 0.8292 0.9389 0.2681
Pd 0.5000 0.5000 0.0000
Pd 0.1708 0.0611 0.7319
Au 0.2500 0.7500 0.5000
Pd 0.3292 0.8292 0.2681
Pd 0.6708 0.1708 0.7319
Pd 0.5611 0.6708 0.7319
Ho 0.8722 0.6278 0.0000
Pd 0.0611 0.5611 0.7319
In 0.7500 0.7500 0.5000
Pd 0.9389 0.4389 0.2681
Pd 0.0000 0.0000 0.0000
```

## Properties
Energy of formation, kJ/mol of atoms: -33
Total magnetization, Bohr magnetons per cell: 0.000
Space-group type: I4/mcm (140)
Crystal system: tetragonal

---

Record 12
## Nd5TmTl2 (PBE-GGA)

Data for a geometry-optimized Nd5TmTl2 structure. Values from VASP.

Cell and atoms, written as Quantum ESPRESSO input:
```
&SYSTEM
  ibrav = 0, nat = 16, ntyp = 3
/
ATOMIC_SPECIES
Tl 204.38 Tl.upf
Tm 168.93 Tm.upf
Nd 144.24 Nd.upf
CELL_PARAMETERS angstrom
-5.5205 -0.2412 0.6291
2.6609 -4.0194 -2.7737
2.4360 -10.3890 17.3920
ATOMIC_POSITIONS crystal
Tl 0.6667 0.3333 0.5983
Tl 0.3333 0.6667 0.0983
Tm 0.6667 0.3333 0.7500
Nd 0.3333 0.6667 0.7500
Nd 0.0000 0.0000 0.3384
Nd 0.6667 0.3333 0.2500
Nd 0.0000 0.0000 0.6616
Tl 0.3333 0.6667 0.4017
Nd 0.0000 0.0000 0.8384
Tm 0.3333 0.6667 0.2500
Tl 0.6667 0.3333 0.9017
Nd 0.3333 0.6667 0.9398
Nd 0.6667 0.3333 0.0602
Nd 0.0000 0.0000 0.1616
Nd 0.3333 0.6667 0.5602
Nd 0.6667 0.3333 0.4398
```

## Properties
Energy of formation, kJ/mol of atoms: -7
Total magnetization, Bohr magnetons per cell: 0.008
Space-group type: P6_3/mmc (194)
Crystal system: hexagonal